(1)
A plane-wave DFT calculation with PBE was carried out for a relaxed LaDyHgPd crystal.

Computed properties:
The formation energy is -0.592 eV/atom.

Cell: 5.252 5.252 5.252 Å, 60.00 60.00 60.00°
Fractional positions:
La 0.250 0.250 0.250
Hg 0.500 0.500 0.500
Pd 0.000 0.000 0.000
Dy 0.750 0.750 0.750


(2)
A plane-wave DFT calculation with PBE was carried out for a relaxed LaPmDyHg crystal.

Computed properties:
The formation energy is -0.230 eV/atom.

Cell: 3.721 3.721 8.870 Å, 90.00 90.00 90.00°
Fractional positions:
La 0.000 0.000 0.077
Pm 0.500 0.500 0.789
Dy 0.500 0.500 0.358
Hg 0.000 0.000 0.561


(3)
A plane-wave DFT calculation with PBE was carried out for a relaxed LaPmDyHg crystal.

Computed properties:
The formation energy is -0.053 eV/atom.

Cell: 5.543 5.543 5.543 Å, 60.00 60.00 60.00°
Site moments in Bohr magnetons follow the coordinates.
Fractional positions:
Pm 0.000 0.000 0.000  0.08
La 0.250 0.250 0.250  0.04
Hg 0.500 0.500 0.500  0.00
Dy 0.750 0.750 0.750  0.06


(4)
A plane-wave DFT calculation with PBE was carried out for a relaxed LaPmDy2Hg4 crystal.

Computed properties:
The formation energy is -0.471 eV/atom.

Cell: 5.366 5.366 9.309 Å, 73.25 73.25 60.00°
Site moments in Bohr magnetons follow the coordinates.
Fractional positions:
La 0.000 0.000 0.000  0.13
Pm 0.500 0.500 0.500  0.14
Dy 0.751 0.751 0.748  0.19
Dy 0.249 0.249 0.252  0.19
Hg 0.377 0.377 0.869  0.01
Hg 0.874 0.874 0.379  0.01
Hg 0.126 0.126 0.621  0.01
Hg 0.623 0.623 0.131  0.01


(5)
A plane-wave DFT calculation with PBE was carried out for a relaxed La2PmDyHg2 crystal.

Computed properties:
The formation energy is -0.338 eV/atom.

Cell: 5.209 7.298 9.677 Å, 90.00 90.00 90.00°
Fractional positions:
La 0.500 0.021 0.058
La 0.000 0.335 0.171
La 0.500 0.521 0.942
La 0.000 0.835 0.829
Pm 0.000 0.994 0.444
Pm 0.000 0.494 0.556
Dy 0.500 0.175 0.673
Dy 0.500 0.675 0.327
Hg 0.000 0.269 0.839
Hg 0.500 0.252 0.364
Hg 0.000 0.769 0.161
Hg 0.500 0.752 0.636


(6)
A plane-wave DFT calculation with PBE was carried out for a relaxed La2Pr2DyHg5 crystal.

Computed properties:
The formation energy is -0.324 eV/atom.

Cell: 4.588 11.271 11.271 Å, 90.00 90.00 90.00°
Fractional positions:
La 0.000 0.674 0.174
La 0.000 0.326 0.826
La 0.000 0.174 0.326
La 0.000 0.826 0.674
Pr 0.000 0.131 0.631
Pr 0.000 0.869 0.369
Pr 0.000 0.631 0.869
Pr 0.000 0.369 0.131
Dy 0.000 0.000 0.000
Dy 0.000 0.500 0.500
Hg 0.500 0.176 0.089
Hg 0.500 0.824 0.911
Hg 0.500 0.089 0.824
Hg 0.500 0.676 0.411
Hg 0.500 0.911 0.176
Hg 0.500 0.324 0.589
Hg 0.500 0.589 0.676
Hg 0.500 0.411 0.324
Hg 0.500 0.500 0.000
Hg 0.500 0.000 0.500


(7)
A plane-wave DFT calculation with PBE was carried out for a relaxed La2PrDyHg2 crystal.

Computed properties:
The formation energy is -0.335 eV/atom.

Cell: 5.215 7.374 9.697 Å, 90.00 90.00 90.00°
Fractional positions:
La 0.500 0.020 0.059
La 0.000 0.336 0.170
La 0.500 0.520 0.941
La 0.000 0.836 0.830
Pr 0.000 0.994 0.442
Pr 0.000 0.494 0.558
Dy 0.500 0.174 0.674
Dy 0.500 0.674 0.326
Hg 0.000 0.266 0.841
Hg 0.500 0.255 0.364
Hg 0.000 0.766 0.159
Hg 0.500 0.755 0.636


(8)
A plane-wave DFT calculation with PBE was carried out for a relaxed LaDyHgPt crystal.

Computed properties:
The formation energy is -0.751 eV/atom.

Cell: 5.227 5.227 5.227 Å, 60.00 60.00 60.00°
Fractional positions:
La 0.000 0.000 0.000
Hg 0.250 0.250 0.250
Pt 0.750 0.750 0.750
Dy 0.500 0.500 0.500


(9)
A plane-wave DFT calculation with PBE was carried out for a relaxed LaDyHgRh crystal.

Computed properties:
The formation energy is -0.549 eV/atom.

Cell: 5.188 5.188 5.188 Å, 60.00 60.00 60.00°
Fractional positions:
La 0.750 0.750 0.750
Rh 0.000 0.000 0.000
Hg 0.500 0.500 0.500
Dy 0.250 0.250 0.250


(10)
A plane-wave DFT calculation with PBE was carried out for a relaxed LaDyHgRu crystal.

Computed properties:
The formation energy is -0.286 eV/atom.

Cell: 5.158 5.158 5.158 Å, 60.00 60.00 60.00°
Fractional positions:
Ru 0.750 0.750 0.750
La 0.500 0.500 0.500
Hg 0.250 0.250 0.250
Dy 0.000 0.000 0.000


(11)
A plane-wave DFT calculation with PBE was carried out for a relaxed LaDyHgRu crystal.

Computed properties:
The formation energy is -0.399 eV/atom.

Cell: 3.539 3.539 7.780 Å, 90.00 90.00 90.00°
Fractional positions:
La 0.500 0.500 0.789
Dy 0.500 0.500 0.349
Hg 0.000 0.000 0.092
Ru 0.000 0.000 0.555


(12)
A plane-wave DFT calculation with PBE was carried out for a relaxed LaDyScHg crystal.

Computed properties:
The formation energy is -0.091 eV/atom.

Cell: 5.426 5.426 5.426 Å, 60.00 60.00 60.00°
Site moments in Bohr magnetons follow the coordinates.
Fractional positions:
Sc 0.000 0.000 0.000  0.19
La 0.750 0.750 0.750  0.06
Hg 0.500 0.500 0.500  0.00
Dy 0.250 0.250 0.250  0.12


Question: formation energy of number 6 (La2Pr2DyHg5)?
Answer: -0.324 eV/atom